{
  "formula": "AgH3Br",
  "functional": "PBE",
  "state": "optimized geometry",
  "cell": [[3.839, 0.000, 0.000], [0.000, 3.839, 0.000], [0.000, 0.000, 3.839]],
  "species": ["H", "H", "H", "Br", "Ag"],
  "fractional_positions": [[0.000, 0.500, 0.000], [0.000, 0.000, 0.500], [0.500, 0.000, 0.000], [0.500, 0.500, 0.500], [0.000, 0.000, 0.000]],
  "energy_ev_per_cell": -10.81,
  "e_above_lowest_polymorph_mev_per_atom": 0,
  "crystal_system": "cubic"
}

{
  "formula": "Al2ZnBr",
  "functional": "PBE",
  "state": "optimized geometry",
  "cell": [[-2.058, -1.390, -2.124], [-0.723, -0.381, 3.164], [-4.669, 7.218, -0.198]],
  "species": ["Zn", "Al", "Al", "Br"],
  "fractional_positions": [[0.500, 0.500, 0.750], [0.000, 0.000, 0.989], [0.000, 0.000, 0.511], [0.500, 0.500, 0.250]],
  "e_form_raw_ev_per_atom": 0.1661,
  "energy_ev_per_cell": -9.77,
  "e_above_lowest_polymorph_mev_per_atom": 103,
  "crystal_system": "orthorhombic"
}